Entry from Alexandria via LeMat-Bulk: crystalline SrMo5 at its relaxed geometry (PBE).

Cell lengths 4.838, 7.217, 7.217 Å; angles 25.64, 90.00, 90.00 degrees
Fractional positions:
1 Sr 0.000 0.000 0.000
2 Mo 0.000 0.316 0.316
3 Mo 0.000 0.681 0.681
4 Mo 0.500 0.163 0.163
5 Mo 0.500 0.470 0.470
6 Mo 0.500 0.823 0.823

Space group: Amm2 (38)
Formation enthalpy at 0 K: 0.701 eV per atom


Entry from Alexandria via LeMat-Bulk: crystalline SrLaCr2 at its relaxed geometry (PBE).

Cell lengths 5.440, 5.440, 5.440 Å; angles 60.00, 60.00, 60.00 degrees
Fractional positions:
1 Sr 0.000 0.000 0.000
2 La 0.500 0.500 0.500
3 Cr 0.250 0.250 0.250
4 Cr 0.750 0.750 0.750

Space group: Fm-3m (225)
Formation enthalpy at 0 K: 0.705 eV per atom


Entry from Alexandria via LeMat-Bulk: crystalline KGa2RuC at its relaxed geometry (PBE).

Cell lengths 5.161, 5.161, 4.276 Å; angles 90.00, 90.00, 90.00 degrees
Fractional positions:
1 K 0.000 0.000 0.000
2 Ga 0.000 0.500 0.000
3 Ga 0.500 0.000 0.000
4 Ru 0.500 0.500 0.500
5 C 0.000 0.000 0.500

Space group: P4/mmm (123)
Formation enthalpy at 0 K: 2.659 eV per atom


Entry from Alexandria via LeMat-Bulk: crystalline Rb4Y3US8 at its relaxed geometry (PBE).

Cell lengths 9.031, 9.031, 9.031 Å; angles 53.89, 53.89, 53.89 degrees
Fractional positions:
1 Rb 0.000 0.000 0.000
2 Rb 0.000 0.500 0.500
3 Rb 0.500 0.000 0.500
4 Rb 0.500 0.500 0.000
5 Y 0.000 0.000 0.500
6 Y 0.000 0.500 0.000
7 Y 0.500 0.000 0.000
8 U 0.500 0.500 0.500
9 S 0.231 0.231 0.231
10 S 0.231 0.731 0.731
11 S 0.269 0.269 0.769
12 S 0.269 0.769 0.269
13 S 0.731 0.231 0.731
14 S 0.731 0.731 0.231
15 S 0.769 0.269 0.269
16 S 0.769 0.769 0.769

ΔE_f (raw): -27.47 eV per formula unit
Space group: R-3m (166)


Entry from Alexandria via LeMat-Bulk: crystalline CeP4Ru6 at its relaxed geometry (PBE).

Cell lengths 6.935, 6.935, 3.783 Å; angles 90.00, 90.00, 120.00 degrees
Fractional positions:
1 Ce 0.000 0.000 0.000
2 P 0.193 0.387 0.500
3 P 0.193 0.807 0.500
4 P 0.613 0.807 0.500
5 P 0.667 0.333 0.000
6 Ru 0.067 0.533 0.000
7 Ru 0.397 0.199 0.500
8 Ru 0.467 0.533 0.000
9 Ru 0.467 0.933 0.000
10 Ru 0.801 0.199 0.500
11 Ru 0.801 0.603 0.500

Space group: P-6m2 (187)
Formation enthalpy at 0 K: -0.775 eV per atom


Entry from Alexandria via LeMat-Bulk: crystalline Sr4InHg3 at its relaxed geometry (PBE).

Cell lengths 8.963, 8.963, 5.720 Å; angles 108.50, 108.50, 37.22 degrees
Fractional positions:
1 Sr 0.126 0.126 0.126
2 Sr 0.374 0.374 0.374
3 Sr 0.626 0.626 0.626
4 Sr 0.874 0.874 0.874
5 In 0.000 0.000 0.500
6 Hg 0.247 0.247 0.747
7 Hg 0.500 0.500 0.000
8 Hg 0.753 0.753 0.253

Space group: C2/m (12)
Formation enthalpy at 0 K: -0.512 eV per atom


| no. | theoretical density (Mg/m³) |
| --- | --- |
| 1 | 8.64 |
| 2 | 4.82 |
| 3 | 4.25 |
| 4 | 4.10 |
| 5 | 9.18 |
| 6 | 6.77 |